AlGa2Fe8 | PBE-GGA | relaxed

Total DFT energy (no corrections), eV/atom: -6.9667
ΔH_f (0 K), kcal/mol of atoms: 1.81

Cell lengths 7.3440, 9.9535, 3.9180 Å; angles 90.00, 90.00, 90.00 degrees
Last column: nearest neighbours and their distance in Å.
Space group Cmmm (No. 65)
Unique sites:
1 Al 0.0000 0.0000 0.0000  12 Fe 2.39-2.67
2 Ga 0.0000 0.3746 0.5000  8 Fe 2.37-2.63, 1 Ga 2.50
3 Fe 0.0000 0.2399 0.0000  2 Ga 2.37, 1 Al 2.39, 4 Fe 2.55
4 Fe 0.1682 0.1338 0.5000  2 Ga 2.44-2.70, 7 Fe 2.47-2.66, 2 Al 2.67
5 Fe 0.1686 0.5000 0.0000  1 Al 2.43, 5 Fe 2.48-2.65, 4 Ga 2.63